This record from the Alexandria database describes SrSi2Au at its PBEsol-relaxed geometry. The functional is meta-GGA SCAN.

a b c (Å): 4.8248 4.8248 4.8248
angles (deg): 60.00 60.00 60.00
Positions (direct):
Au: 0.0000 0.0000 0.0000
Si: 0.7500 0.7500 0.7500
Si: 0.2500 0.2500 0.2500
Sr: 0.5000 0.5000 0.5000

Fermi-level density of states = 0.408 states/eV/atom
M_tot = 0.00 μB/atom
energy relative to the elements, uncorrected = 232 meV/atom
DFT total energy = -27.6344 eV/atom
space-group type = Fm-3m, No. 225

=====

This record from the Alexandria database describes Ti3Bi2P6O24 at its PBEsol-relaxed geometry. The functional is meta-GGA SCAN.

a b c (Å): 8.4379 8.4379 8.8956
angles (deg): 61.69 61.69 60.00
Positions (direct):
Ti: 0.6556 0.6556 0.0333
Ti: 0.8548 0.8548 0.4355
Ti: 0.3386 0.3386 0.9842
Bi: 0.0170 0.0170 0.9489
Bi: 0.4956 0.4956 0.5133
P: 0.9135 0.5630 0.2573
P: 0.5630 0.2662 0.2573
P: 0.2662 0.9135 0.2573
P: 0.7309 0.0426 0.7497
P: 0.4768 0.7309 0.7497
P: 0.0426 0.4768 0.7497
O: 0.4709 0.3125 0.1157
O: 0.3125 0.1009 0.1157
O: 0.1009 0.4709 0.1157
O: 0.9660 0.7078 0.2695
O: 0.7449 0.6880 0.1771
O: 0.8462 0.4184 0.4330
O: 0.7078 0.0567 0.2695
O: 0.6880 0.3900 0.1771
O: 0.3900 0.7449 0.1771
O: 0.7768 0.0251 0.5672
O: 0.9173 0.9895 0.7823
O: 0.6310 0.7768 0.5672
O: 0.4184 0.3024 0.4330
O: 0.0567 0.9660 0.2695
O: 0.3024 0.8462 0.4330
O: 0.5924 0.2490 0.7625
O: 0.3961 0.5924 0.7625
O: 0.3109 0.9173 0.7823
O: 0.0251 0.6310 0.5672
O: 0.2490 0.3961 0.7625
O: 0.9895 0.3109 0.7823
O: 0.9144 0.5780 0.8925
O: 0.6151 0.9144 0.8925
O: 0.5780 0.6151 0.8925

Fermi-level density of states = 0.000 states/eV/atom
M_tot = 0.00 μB/atom
energy relative to the elements, uncorrected = -2497 meV/atom
DFT total energy = -14.4164 eV/atom
space-group type = R3, No. 146

=====

This record from the Alexandria database describes Y3NiSe at its PBEsol-relaxed geometry. The functional is meta-GGA SCAN.

a b c (Å): 5.1121 5.1121 5.1121
angles (deg): 90.00 90.00 90.00
Positions (direct):
Y: 0.0000 0.5000 0.0000
Y: 0.0000 0.0000 0.5000
Y: 0.5000 0.0000 0.0000
Ni: 0.0000 0.0000 0.0000
Se: 0.5000 0.5000 0.5000

Fermi-level density of states = 0.781 states/eV/atom
M_tot = 0.00 μB/atom
energy relative to the elements, uncorrected = -448 meV/atom
excess energy over the best structure of this formula in the dataset = 0.000 eV/atom
DFT total energy = -24.4044 eV/atom
space-group type = Pm-3m, No. 221

=====

This record from the Alexandria database describes La4Al51W7 at its PBEsol-relaxed geometry. The functional is meta-GGA SCAN.

a b c (Å): 10.3764 10.3764 11.6530
angles (deg): 90.00 90.00 120.00
Positions (direct):
La: 0.6667 0.3333 0.5789
La: 0.3333 0.6667 0.4211
La: 0.6667 0.3333 0.9065
La: 0.3333 0.6667 0.0935
Al: 0.9067 0.8134 0.5972
Al: 0.0933 0.1866 0.4028
Al: 0.9067 0.0933 0.5972
Al: 0.0933 0.9067 0.4028
Al: 0.1866 0.0933 0.5972
Al: 0.8134 0.9067 0.4028
Al: 0.4222 0.8443 0.6564
Al: 0.5778 0.1557 0.3436
Al: 0.4222 0.5778 0.6564
Al: 0.5778 0.4222 0.3436
Al: 0.1557 0.5778 0.6564
Al: 0.8443 0.4222 0.3436
Al: 0.8444 0.6887 0.9553
Al: 0.1556 0.3113 0.0447
Al: 0.8444 0.1556 0.9553
Al: 0.1556 0.8444 0.0447
Al: 0.3113 0.1556 0.9553
Al: 0.6887 0.8444 0.0447
Al: 0.0911 0.1823 0.8300
Al: 0.9089 0.8177 0.1700
Al: 0.0911 0.9089 0.8300
Al: 0.9089 0.0911 0.1700
Al: 0.8177 0.9089 0.8300
Al: 0.1823 0.0911 0.1700
Al: 0.2427 0.4853 0.8585
Al: 0.7573 0.5147 0.1415
Al: 0.2427 0.7573 0.8585
Al: 0.7573 0.2427 0.1415
Al: 0.5147 0.7573 0.8585
Al: 0.4853 0.2427 0.1415
Al: 0.5000 0.5000 0.0000
Al: 0.0000 0.5000 0.0000
Al: 0.5000 0.0000 0.0000
Al: 0.9293 0.3304 0.7544
Al: 0.0707 0.6696 0.2456
Al: 0.4010 0.0707 0.7544
Al: 0.5990 0.6696 0.2456
Al: 0.5990 0.9293 0.2456
Al: 0.4010 0.3304 0.7544
Al: 0.6696 0.5990 0.7544
Al: 0.3304 0.9293 0.2456
Al: 0.3304 0.4010 0.2456
Al: 0.6696 0.0707 0.7544
Al: 0.0707 0.4010 0.2456
Al: 0.9293 0.5990 0.7544
Al: 0.6321 0.6321 0.5000
Al: 0.3679 0.3679 0.5000
Al: 0.0000 0.3679 0.5000
Al: 0.0000 0.6321 0.5000
Al: 0.3679 0.0000 0.5000
Al: 0.6321 0.0000 0.5000
W: 0.1687 0.3374 0.6546
W: 0.8313 0.6626 0.3454
W: 0.1687 0.8313 0.6546
W: 0.8313 0.1687 0.3454
W: 0.6626 0.8313 0.6546
W: 0.3374 0.1687 0.3454
W: 0.0000 0.0000 0.0000

Fermi-level density of states = 0.286 states/eV/atom
M_tot = 0.00 μB/atom
energy of formation = -0.2200 eV per atom
DFT total energy = -17.2454 eV/atom
space-group type = P-3m1, No. 164

=====

This record from the Alexandria database describes AlCrAs2S at its PBEsol-relaxed geometry. The functional is meta-GGA SCAN.

a b c (Å): 4.4352 4.4352 4.8309
angles (deg): 90.00 90.00 90.00
Each line ends with the local moment (μB).
Positions (direct):
Cr: 0.0000 0.0000 0.0000  1.01
As: 0.0000 0.5000 0.0000  -0.10
As: 0.5000 0.0000 0.0000  -0.10
S: 0.5000 0.5000 0.5000  0.16
Al: 0.0000 0.0000 0.5000  0.01

Fermi-level density of states = 0.571 states/eV/atom
M_tot = 0.21 μB/atom
energy relative to the elements, uncorrected = 363 meV/atom
DFT total energy = -14.8664 eV/atom
space-group type = P4/mmm, No. 123

=====

This record from the Alexandria database describes ZrCrTe2 at its PBEsol-relaxed geometry. The functional is meta-GGA SCAN.

a b c (Å): 3.8353 3.8353 7.6181
angles (deg): 75.42 75.42 60.00
Each line ends with the local moment (μB).
Positions (direct):
Cr: 0.0000 0.0000 0.0000  4.01
Te: 0.2548 0.2548 0.2355  -0.11
Te: 0.7452 0.7452 0.7645  -0.11
Zr: 0.5000 0.5000 0.5000  0.75

Fermi-level density of states = 0.791 states/eV/atom
M_tot = 1.36 μB/atom
energy relative to the elements, uncorrected = -499 meV/atom
excess energy over the best structure of this formula in the dataset = 0.062 eV/atom
DFT total energy = -31.3957 eV/atom
space-group type = R-3m, No. 166

=====

This record from the Alexandria database describes TiCoSi2Os at its PBEsol-relaxed geometry. The functional is meta-GGA SCAN.

a b c (Å): 4.1499 4.1499 4.2484
angles (deg): 90.00 90.00 90.00
Positions (direct):
Co: 0.0000 0.0000 0.0000
Si: 0.0000 0.5000 0.0000
Si: 0.5000 0.0000 0.0000
Os: 0.5000 0.5000 0.5000
Ti: 0.0000 0.0000 0.5000

Fermi-level density of states = 0.603 states/eV/atom
M_tot = 0.00 μB/atom
energy relative to the elements, uncorrected = 496 meV/atom
DFT total energy = -24.5530 eV/atom
space-group type = P4/mmm, No. 123

=====

This record from the Alexandria database describes Si3PtW at its PBEsol-relaxed geometry. The functional is meta-GGA SCAN.

a b c (Å): 4.5817 4.5817 4.5817
angles (deg): 90.00 90.00 90.00
Each line ends with the local moment (μB).
Positions (direct):
Si: 0.0000 0.5000 0.0000  -0.06
Si: 0.0000 0.0000 0.5000  -0.06
Si: 0.5000 0.0000 0.0000  -0.06
W: 0.5000 0.5000 0.5000  2.47
Pt: 0.0000 0.0000 0.0000  -0.13

Fermi-level density of states = 0.681 states/eV/atom
M_tot = 0.51 μB/atom
energy relative to the elements, uncorrected = 1385 meV/atom
DFT total energy = -32.6002 eV/atom
space-group type = Pm-3m, No. 221